Record 1
Density functional theory data (PBE) for a relaxed Y2AlAg2 crystal.

As for the total magnetic moment: 0.000 μB per atom. The calculation puts the formation energy from the elements at -329.8 meV per atom. The value obtained for the electronic total energy is -96.09 eV per cell. Its density of states at the Fermi level is 0.992 states/eV per atom.

It has space group C2/m (No. 12), with a = 10.8338 Å, b = 4.4415 Å, c = 10.9175 Å, α = 90.00°, β = 116.77° and γ = 90.00°. The inequivalent atoms are Y at (0.0087, 0.0000, 0.3365), Y at (0.1924, 0.0000, 0.1096), Al at (0.2219, 0.5000, 0.3454), Ag at (0.0206, 0.5000, 0.8815) and Ag at (0.1469, 0.5000, 0.5632).

***

Record 2
Density functional theory data (PBE) for a relaxed YAlAg2 crystal.

As for the total magnetic moment: 0.000 μB per atom. The calculation puts the formation energy from the elements at -187.1 meV per atom. The value obtained for the electronic total energy is -16.66 eV per cell. Its density of states at the Fermi level is 0.664 states/eV per atom.

It has space group P2/m (No. 10), with a = 3.3607 Å, b = 4.6449 Å, c = 5.5938 Å, α = 90.00°, β = 90.12° and γ = 90.00°. The inequivalent atoms are Y at (0.0000, 0.0000, 0.0000), Al at (0.5000, 0.0000, 0.5000) and Ag at (0.4980, 0.5000, 0.7500).